<a>
# Cs2Zn2Ir, relaxed, DFT GGA-PBE
data_Cs2Zn2Ir
_cell_length_a 3.6396
_cell_length_b 3.6396
_cell_length_c 24.2312
_cell_angle_alpha 90.00
_cell_angle_beta 90.00
_cell_angle_gamma 90.00
_symmetry_space_group_name_H-M 'I 4/m m m'
_symmetry_Int_Tables_number 139
_symmetry_space_group_name_Hall '-I 4 2'
loop_
_atom_site_label
_atom_site_type_symbol
_atom_site_fract_x
_atom_site_fract_y
_atom_site_fract_z
_atom_site_occupancy
Cs1 Cs 0.0000 0.0000 0.0944 1
Zn1 Zn 0.0000 0.5000 0.2500 1
Ir1 Ir 0.0000 0.0000 0.5000 1
# Crystal system   tetragonal
# N(E_F)   5.3 states/eV/f.u.


<b>
# Cs2Zn2Ir, relaxed, DFT GGA-PBE
data_Cs2Zn2Ir
_cell_length_a 6.9891
_cell_length_b 6.9891
_cell_length_c 7.4337
_cell_angle_alpha 90.00
_cell_angle_beta 90.00
_cell_angle_gamma 90.00
_symmetry_space_group_name_H-M 'I 4/m m m'
_symmetry_Int_Tables_number 139
_symmetry_space_group_name_Hall '-I 4 2'
loop_
_atom_site_label
_atom_site_type_symbol
_atom_site_fract_x
_atom_site_fract_y
_atom_site_fract_z
_atom_site_occupancy
Cs1 Cs 0.0000 0.5000 0.2500 1
Zn1 Zn 0.0000 0.0000 0.1715 1
Ir1 Ir 0.0000 0.0000 0.5000 1
# Crystal system   tetragonal
# N(E_F)   1.9 states/eV/f.u.


The structure with the greatest stability is <b>.


<a>
# CsZnIr3, relaxed, DFT GGA-PBE
data_CsZnIr3
_cell_length_a 4.7849
_cell_length_b 4.7849
_cell_length_c 4.7849
_cell_angle_alpha 90.00
_cell_angle_beta 90.00
_cell_angle_gamma 90.00
_symmetry_space_group_name_H-M 'P m -3 m'
_symmetry_Int_Tables_number 221
_symmetry_space_group_name_Hall '-P 4 2 3'
loop_
_atom_site_label
_atom_site_type_symbol
_atom_site_fract_x
_atom_site_fract_y
_atom_site_fract_z
_atom_site_occupancy
Cs1 Cs 0.0000 0.0000 0.0000 1
Zn1 Zn 0.5000 0.5000 0.5000 1
Ir1 Ir 0.0000 0.5000 0.5000 1
# Crystal system   cubic
# N(E_F)   6.6 states/eV/f.u.


<b>
# CsZnIr3, relaxed, DFT GGA-PBE
data_CsZnIr3
_cell_length_a 5.0004
_cell_length_b 5.0004
_cell_length_c 5.0004
_cell_angle_alpha 90.00
_cell_angle_beta 90.00
_cell_angle_gamma 90.00
_symmetry_space_group_name_H-M 'P m -3 m'
_symmetry_Int_Tables_number 221
_symmetry_space_group_name_Hall '-P 4 2 3'
loop_
_atom_site_label
_atom_site_type_symbol
_atom_site_fract_x
_atom_site_fract_y
_atom_site_fract_z
_atom_site_occupancy
Cs1 Cs 0.0000 0.0000 0.0000 1
Zn1 Zn 0.5000 0.5000 0.5000 1
Ir1 Ir 0.0000 0.0000 0.5000 1
# Crystal system   cubic
# N(E_F)   6.7 states/eV/f.u.


The structure with the greatest stability is <a>.


<a>
# CsZn2Ir, relaxed, DFT GGA-PBE
data_CsZn2Ir
_cell_length_a 5.6568
_cell_length_b 5.6568
_cell_length_c 15.9338
_cell_angle_alpha 90.00
_cell_angle_beta 90.00
_cell_angle_gamma 90.00
_symmetry_space_group_name_H-M 'I 41/a m d'
_symmetry_Int_Tables_number 141
loop_
_symmetry_equiv_pos_as_xyz
'x,y,z'
'-x,-y,-z'
'-y+1/4,x+3/4,z+1/4'
'y+1/4,-x+3/4,-z+1/4'
'-x+1/2,-y,z+1/2'
'x+1/2,y,-z+1/2'
'y+1/4,-x+1/4,z+3/4'
'-y+1/4,x+1/4,-z+3/4'
'x,-y,-z'
'-x,y,z'
'-y+1/4,-x+1/4,-z+3/4'
'y+1/4,x+1/4,z+3/4'
'-x+1/2,y,-z+1/2'
'x+1/2,-y,z+1/2'
'y+1/4,x+3/4,-z+1/4'
'-y+1/4,-x+3/4,z+1/4'
'x+1/2,y+1/2,z+1/2'
'-x+1/2,-y+1/2,-z+1/2'
'-y+3/4,x+1/4,z+3/4'
'y+3/4,-x+1/4,-z+3/4'
'-x,-y+1/2,z'
'x,y+1/2,-z'
'y+3/4,-x+3/4,z+1/4'
'-y+3/4,x+3/4,-z+1/4'
'x+1/2,-y+1/2,-z+1/2'
'-x+1/2,y+1/2,z+1/2'
'-y+3/4,-x+3/4,-z+1/4'
'y+3/4,x+3/4,z+1/4'
'-x,y+1/2,-z'
'x,-y+1/2,z'
'y+3/4,x+1/4,-z+3/4'
'-y+3/4,-x+1/4,z+3/4'
loop_
_atom_site_label
_atom_site_type_symbol
_atom_site_fract_x
_atom_site_fract_y
_atom_site_fract_z
_atom_site_occupancy
Cs1 Cs 0.0000 0.2500 0.3750 1
Zn1 Zn 0.0000 0.0000 0.0000 1
Ir1 Ir 0.0000 0.2500 0.8750 1
# Crystal system   tetragonal
# N(E_F)   0.5 states/eV/f.u.


<b>
# CsZn2Ir, relaxed, DFT GGA-PBE
data_CsZn2Ir
_cell_length_a 7.1300
_cell_length_b 7.1300
_cell_length_c 7.1300
_cell_angle_alpha 90.00
_cell_angle_beta 90.00
_cell_angle_gamma 90.00
_symmetry_space_group_name_H-M 'F m -3 m'
_symmetry_Int_Tables_number 225
_symmetry_space_group_name_Hall '-F 4 2 3'
loop_
_atom_site_label
_atom_site_type_symbol
_atom_site_fract_x
_atom_site_fract_y
_atom_site_fract_z
_atom_site_occupancy
Cs1 Cs 0.0000 0.0000 0.0000 1
Zn1 Zn 0.2500 0.2500 0.2500 1
Ir1 Ir 0.0000 0.0000 0.5000 1
# Crystal system   cubic
# N(E_F)   2.5 states/eV/f.u.


The structure with the greatest stability is <a>.


<a>
# CsZn3Ir, relaxed, DFT GGA-PBE
data_CsZn3Ir
_cell_length_a 5.0221
_cell_length_b 5.0221
_cell_length_c 5.0221
_cell_angle_alpha 90.00
_cell_angle_beta 90.00
_cell_angle_gamma 90.00
_symmetry_space_group_name_H-M 'P m -3 m'
_symmetry_Int_Tables_number 221
_symmetry_space_group_name_Hall '-P 4 2 3'
loop_
_atom_site_label
_atom_site_type_symbol
_atom_site_fract_x
_atom_site_fract_y
_atom_site_fract_z
_atom_site_occupancy
Cs1 Cs 0.0000 0.0000 0.0000 1
Zn1 Zn 0.0000 0.5000 0.5000 1
Ir1 Ir 0.5000 0.5000 0.5000 1
# Crystal system   cubic
# N(E_F)   1.4 states/eV/f.u.


<b>
# CsZn3Ir, relaxed, DFT GGA-PBE
data_CsZn3Ir
_cell_length_a 6.8578
_cell_length_b 6.8578
_cell_length_c 6.8578
_cell_angle_alpha 90.00
_cell_angle_beta 90.00
_cell_angle_gamma 90.00
_symmetry_space_group_name_H-M 'P m -3 m'
_symmetry_Int_Tables_number 221
_symmetry_space_group_name_Hall '-P 4 2 3'
loop_
_atom_site_label
_atom_site_type_symbol
_atom_site_fract_x
_atom_site_fract_y
_atom_site_fract_z
_atom_site_occupancy
Cs1 Cs 0.0000 0.0000 0.0000 1
Zn1 Zn 0.0000 0.0000 0.5000 1
Ir1 Ir 0.5000 0.5000 0.5000 1
# Crystal system   cubic
# N(E_F)   10.2 states/eV/f.u.


The structure with the greatest stability is <a>.